Entry from Alexandria: a relaxed TlCr2GaO8 crystal (PBE with a Hubbard U). Values from VASP.

Calculated values
SG   P-3m1, No. 164
Mass density   4229 kg/m³
Magnetization   0.00 Bohr magnetons per cell
Calculated total energy   -0.462 Ry per atom

Structure (Quantum ESPRESSO input):
```
&SYSTEM
  ibrav = 0, nat = 12, ntyp = 4
/
ATOMIC_SPECIES
Tl 204.38 Tl.upf
Cr 52.00 Cr.upf
Ga 69.72 Ga.upf
O 16.00 O.upf
ATOMIC_POSITIONS crystal
Tl 0.0000 0.0000 0.0000
Cr 0.3333 0.6667 0.2758
Cr 0.6667 0.3333 0.7242
Ga 0.0000 0.0000 0.5000
O 0.1652 0.3305 0.3437
O 0.1652 0.8348 0.3437
O 0.3305 0.1652 0.6563
O 0.3333 0.6667 0.0631
O 0.6667 0.3333 0.9369
O 0.6695 0.8348 0.3437
O 0.8348 0.1652 0.6563
O 0.8348 0.6695 0.6563
CELL_PARAMETERS angstrom
5.4761 0.0000 0.0000
-2.7380 4.7424 0.0000
0.0000 0.0000 7.6525
```